Entry 1:
Compound: Sr2MgAg
Source: Alexandria
Functional: PBEsol
Structure: optimized geometry

Unit cell a=4.0594 b=5.5676 c=5.5676 alpha=90.00 beta=90.00 gamma=90.00
Atoms (fractional coordinates):
Mg  0.5000  0.0000  0.0000
Sr  0.0000  0.5000  0.0000
Ag  0.5000  0.5000  0.5000
Sr  0.0000  0.0000  0.5000

## Properties
DFT formation energy = -0.099 eV/atom
space group = P4/mmm (123)

Entry 2:
Compound: SbPO4
Source: Alexandria
Functional: PBEsol
Structure: optimized geometry

Unit cell a=5.0759 b=6.7444 c=9.4081 alpha=90.00 beta=90.00 gamma=90.00
Atoms (fractional coordinates):
O  0.8124  0.7500  0.0541
O  0.9422  0.9327  0.8264
O  0.9422  0.5673  0.8264
Sb  0.3270  0.7500  0.6618
Sb  0.1730  0.7500  0.1618
P  0.8023  0.7500  0.8894
O  0.0578  0.0673  0.1736
O  0.3124  0.2500  0.4459
P  0.1977  0.2500  0.1106
O  0.4989  0.2500  0.1453
O  0.5578  0.9327  0.3264
O  0.4422  0.0673  0.6736
P  0.6977  0.7500  0.3894
Sb  0.8270  0.2500  0.8382
O  0.4422  0.4327  0.6736
O  0.0011  0.2500  0.6453
O  0.5011  0.7500  0.8547
O  0.9989  0.7500  0.3547
O  0.0578  0.4327  0.1736
Sb  0.6730  0.2500  0.3382
O  0.6876  0.7500  0.5541
O  0.1876  0.2500  0.9459
O  0.5578  0.5673  0.3264
P  0.3023  0.2500  0.6106

## Properties
energy relative to the elements, uncorrected = -11.38 eV per formula unit
relative energy among the computed polymorphs = 0.009 eV/atom
space group = Pnma (62)

| no. | VASP energy (eV/atom) |
| --- | --- |
| 1 | -2.28 |
| 2 | -7.12 |